No. 1
# PBE Ce8Os3RhCl4, optimized geometry
# **Size of the total moment**: 17.28 μB per cell
# **ΔE_f (raw)**: -0.918 eV per atom
data_Ce8Os3RhCl4
_cell_length_a 8.0659
_cell_length_b 8.0659
_cell_length_c 22.1476
_cell_angle_alpha 90.00
_cell_angle_beta 90.00
_cell_angle_gamma 120.00
_symmetry_space_group_name_H-M 'R -3 m'
_symmetry_Int_Tables_number 166
_symmetry_space_group_name_Hall '-R 3 2"'
loop_
_atom_site_label
_atom_site_type_symbol
_atom_site_fract_x
_atom_site_fract_y
_atom_site_fract_z
Ce1 Ce 0.0000 0.0000 0.2354
Ce2 Ce 0.0046 0.5023 0.7643
Os1 Os 0.0000 0.5000 0.5000
Rh1 Rh 0.0000 0.0000 0.5000
Cl1 Cl 0.0000 0.0000 0.0000
Cl2 Cl 0.0000 0.5000 0.0000

No. 2
# PBE Ce8Os3RuCl4, optimized geometry
# **Size of the total moment**: 15.09 μB per cell
# **ΔE_f (raw)**: -0.871 eV per atom
data_Ce8Os3RuCl4
_cell_length_a 8.0474
_cell_length_b 8.0474
_cell_length_c 22.1671
_cell_angle_alpha 90.00
_cell_angle_beta 90.00
_cell_angle_gamma 120.00
_symmetry_space_group_name_H-M 'R -3 m'
_symmetry_Int_Tables_number 166
_symmetry_space_group_name_Hall '-R 3 2"'
loop_
_atom_site_label
_atom_site_type_symbol
_atom_site_fract_x
_atom_site_fract_y
_atom_site_fract_z
Ce1 Ce 0.0000 0.0000 0.2350
Ce2 Ce 0.0001 0.5001 0.2352
Os1 Os 0.0000 0.5000 0.5000
Ru1 Ru 0.0000 0.0000 0.5000
Cl1 Cl 0.0000 0.0000 0.0000
Cl2 Cl 0.0000 0.5000 0.0000

No. 3
# PBE Ce6Os2RuCl3, optimized geometry
# **Size of the total moment**: 7.38 μB per cell
# **ΔE_f (raw)**: -0.875 eV per atom
data_Ce6Os2RuCl3
_cell_length_a 6.9631
_cell_length_b 12.0606
_cell_length_c 7.7411
_cell_angle_alpha 90.00
_cell_angle_beta 107.45
_cell_angle_gamma 90.00
_symmetry_space_group_name_H-M 'C 1 2/m 1'
_symmetry_Int_Tables_number 12
loop_
_symmetry_equiv_pos_as_xyz
'x,y,z'
'-x,-y,-z'
'-x,y,-z'
'x,-y,z'
'x+1/2,y+1/2,z'
'-x+1/2,-y+1/2,-z'
'-x+1/2,y+1/2,-z'
'x+1/2,-y+1/2,z'
loop_
_atom_site_label
_atom_site_type_symbol
_atom_site_fract_x
_atom_site_fract_y
_atom_site_fract_z
Ce1 Ce 0.2354 0.0000 0.2057
Ce2 Ce 0.2352 0.3334 0.2058
Os1 Os 0.0000 0.1667 0.0000
Ru1 Ru 0.0000 0.5000 0.0000
Cl1 Cl 0.0000 0.0000 0.5000
Cl2 Cl 0.0000 0.3335 0.5000

No. 4
# PBE Ce4OsS2Cl, optimized geometry
# **Size of the total moment**: 2.53 μB per cell
# **ΔE_f (raw)**: -1.383 eV per atom
data_Ce4OsS2Cl
_cell_length_a 7.0718
_cell_length_b 3.9751
_cell_length_c 7.0810
_cell_angle_alpha 90.00
_cell_angle_beta 108.66
_cell_angle_gamma 90.00
_symmetry_space_group_name_H-M 'P 1 2/m 1'
_symmetry_Int_Tables_number 10
loop_
_symmetry_equiv_pos_as_xyz
'x,y,z'
'-x,-y,-z'
'-x,y,-z'
'x,-y,z'
loop_
_atom_site_label
_atom_site_type_symbol
_atom_site_fract_x
_atom_site_fract_y
_atom_site_fract_z
Ce1 Ce 0.2359 0.0000 0.2444
Ce2 Ce 0.2370 0.5000 0.7446
Os1 Os 0.0000 0.5000 0.0000
S1 S 0.0000 0.0000 0.5000
S2 S 0.5000 0.5000 0.5000
Cl1 Cl 0.5000 0.0000 0.0000

No. 5
# PBE Ce4OsSeCl2, optimized geometry
# **Size of the total moment**: 3.28 μB per cell
# **ΔE_f (raw)**: -1.217 eV per atom
data_Ce4OsSeCl2
_cell_length_a 7.1123
_cell_length_b 4.0294
_cell_length_c 7.4019
_cell_angle_alpha 90.00
_cell_angle_beta 108.40
_cell_angle_gamma 90.00
_symmetry_space_group_name_H-M 'P 1 2/m 1'
_symmetry_Int_Tables_number 10
loop_
_symmetry_equiv_pos_as_xyz
'x,y,z'
'-x,-y,-z'
'-x,y,-z'
'x,-y,z'
loop_
_atom_site_label
_atom_site_type_symbol
_atom_site_fract_x
_atom_site_fract_y
_atom_site_fract_z
Ce1 Ce 0.2257 0.0000 0.2228
Ce2 Ce 0.2434 0.5000 0.7627
Os1 Os 0.0000 0.5000 0.0000
Se1 Se 0.0000 0.0000 0.5000
Cl1 Cl 0.5000 0.0000 0.0000
Cl2 Cl 0.5000 0.5000 0.5000

No. 6
# PBE Ce6TcOs2Cl3, optimized geometry
# **Size of the total moment**: 5.80 μB per cell
# **ΔE_f (raw)**: -0.802 eV per atom
data_Ce6TcOs2Cl3
_cell_length_a 6.9546
_cell_length_b 12.0464
_cell_length_c 7.7433
_cell_angle_alpha 90.00
_cell_angle_beta 107.41
_cell_angle_gamma 90.00
_symmetry_space_group_name_H-M 'C 1 2/m 1'
_symmetry_Int_Tables_number 12
loop_
_symmetry_equiv_pos_as_xyz
'x,y,z'
'-x,-y,-z'
'-x,y,-z'
'x,-y,z'
'x+1/2,y+1/2,z'
'-x+1/2,-y+1/2,-z'
'-x+1/2,y+1/2,-z'
'x+1/2,-y+1/2,z'
loop_
_atom_site_label
_atom_site_type_symbol
_atom_site_fract_x
_atom_site_fract_y
_atom_site_fract_z
Ce1 Ce 0.2344 0.1659 0.2056
Ce2 Ce 0.2366 0.5000 0.2054
Tc1 Tc 0.0000 0.0000 0.0000
Os1 Os 0.0000 0.3333 0.0000
Cl1 Cl 0.0000 0.1657 0.5000
Cl2 Cl 0.0000 0.5000 0.5000

No. 7
# PBE Ce4TcOsCl2, optimized geometry
# **Size of the total moment**: 1.71 μB per cell
# **ΔE_f (raw)**: -0.775 eV per atom
data_Ce4TcOsCl2
_cell_length_a 6.9360
_cell_length_b 4.0073
_cell_length_c 7.7527
_cell_angle_alpha 90.00
_cell_angle_beta 107.40
_cell_angle_gamma 90.00
_symmetry_space_group_name_H-M 'P 1 2/m 1'
_symmetry_Int_Tables_number 10
loop_
_symmetry_equiv_pos_as_xyz
'x,y,z'
'-x,-y,-z'
'-x,y,-z'
'x,-y,z'
loop_
_atom_site_label
_atom_site_type_symbol
_atom_site_fract_x
_atom_site_fract_y
_atom_site_fract_z
Ce1 Ce 0.2336 0.0000 0.2064
Ce2 Ce 0.2640 0.5000 0.7947
Tc1 Tc 0.0000 0.5000 0.0000
Os1 Os 0.5000 0.0000 0.0000
Cl1 Cl 0.0000 0.0000 0.5000
Cl2 Cl 0.5000 0.5000 0.5000

No. 8
# PBE CeThOsCl, optimized geometry
# **Size of the total moment**: 1.97 μB per cell
# **ΔE_f (raw)**: -0.838 eV per atom
data_CeThOsCl
_cell_length_a 4.0832
_cell_length_b 4.0832
_cell_length_c 23.1223
_cell_angle_alpha 90.00
_cell_angle_beta 90.00
_cell_angle_gamma 120.00
_symmetry_space_group_name_H-M 'R 3 m'
_symmetry_Int_Tables_number 160
_symmetry_space_group_name_Hall 'R 3 -2"'
loop_
_atom_site_label
_atom_site_type_symbol
_atom_site_fract_x
_atom_site_fract_y
_atom_site_fract_z
Ce1 Ce 0.0000 0.0000 0.0000
Th1 Th 0.0000 0.0000 0.7967
Os1 Os 0.0000 0.0000 0.3980
Cl1 Cl 0.0000 0.0000 0.5723

No. 9
# PBE Ce4P3Cl, optimized geometry
# **Size of the total moment**: 2.53 μB per cell
# **ΔE_f (raw)**: -1.543 eV per atom
data_Ce4P3Cl
_cell_length_a 4.0895
_cell_length_b 5.7643
_cell_length_c 8.1676
_cell_angle_alpha 90.00
_cell_angle_beta 90.00
_cell_angle_gamma 90.00
_symmetry_space_group_name_H-M 'P m m m'
_symmetry_Int_Tables_number 47
loop_
_symmetry_equiv_pos_as_xyz
'x,y,z'
'-x,-y,-z'
'-x,-y,z'
'x,y,-z'
'x,-y,-z'
'-x,y,z'
'-x,y,-z'
'x,-y,z'
loop_
_atom_site_label
_atom_site_type_symbol
_atom_site_fract_x
_atom_site_fract_y
_atom_site_fract_z
Ce1 Ce 0.0000 0.0000 0.0000
Ce2 Ce 0.0000 0.0000 0.5000
Ce3 Ce 0.5000 0.5000 0.2395
P1 P 0.0000 0.5000 0.0000
P2 P 0.5000 0.0000 0.2521
Cl1 Cl 0.0000 0.5000 0.5000

No. 10
# PBE Ce2PCl2, optimized geometry
# **Size of the total moment**: 5.60 μB per cell
# **ΔE_f (raw)**: -1.867 eV per atom
data_Ce2PCl2
_cell_length_a 4.0801
_cell_length_b 4.0801
_cell_length_c 29.8018
_cell_angle_alpha 90.00
_cell_angle_beta 90.00
_cell_angle_gamma 120.00
_symmetry_space_group_name_H-M 'R -3 m'
_symmetry_Int_Tables_number 166
_symmetry_space_group_name_Hall '-R 3 2"'
loop_
_atom_site_label
_atom_site_type_symbol
_atom_site_fract_x
_atom_site_fract_y
_atom_site_fract_z
Ce1 Ce 0.0000 0.0000 0.1129
P1 P 0.0000 0.0000 0.5000
Cl1 Cl 0.0000 0.0000 0.2768

No. 11
# PBE Ce3PCl2, optimized geometry
# **Size of the total moment**: 7.24 μB per cell
# **ΔE_f (raw)**: -1.504 eV per atom
data_Ce3PCl2
_cell_length_a 6.9619
_cell_length_b 12.1485
_cell_length_c 7.0541
_cell_angle_alpha 90.00
_cell_angle_beta 109.63
_cell_angle_gamma 90.00
_symmetry_space_group_name_H-M 'C 1 2/c 1'
_symmetry_Int_Tables_number 15
loop_
_symmetry_equiv_pos_as_xyz
'x,y,z'
'-x,-y,-z'
'-x,y,-z+1/2'
'x,-y,z+1/2'
'x+1/2,y+1/2,z'
'-x+1/2,-y+1/2,-z'
'-x+1/2,y+1/2,-z+1/2'
'x+1/2,-y+1/2,z+1/2'
loop_
_atom_site_label
_atom_site_type_symbol
_atom_site_fract_x
_atom_site_fract_y
_atom_site_fract_z
Ce1 Ce 0.2426 0.0801 0.0012
Ce2 Ce 0.2500 0.2500 0.5000
P1 P 0.0000 0.0840 0.2500
Cl1 Cl 0.0000 0.2483 0.7500
Cl2 Cl 0.0000 0.4162 0.2500

No. 12
# PBE Ce6PCl8, optimized geometry
# **Size of the total moment**: 16.53 μB per cell
# **ΔE_f (raw)**: -1.806 eV per atom
data_Ce6PCl8
_cell_length_a 6.9920
_cell_length_b 6.9920
_cell_length_c 29.6661
_cell_angle_alpha 90.00
_cell_angle_beta 90.00
_cell_angle_gamma 120.00
_symmetry_space_group_name_H-M 'R -3'
_symmetry_Int_Tables_number 148
_symmetry_space_group_name_Hall '-R 3'
loop_
_atom_site_label
_atom_site_type_symbol
_atom_site_fract_x
_atom_site_fract_y
_atom_site_fract_z
Ce1 Ce 0.9998 0.3293 0.0531
P1 P 0.0000 0.0000 0.0000
Cl1 Cl 0.0000 0.0000 0.3334
Cl2 Cl 0.9998 0.3307 0.8899